(1)
Crystalline La2ZrCr at its relaxed geometry, computed with PBE.

Lattice parameters (Å, degrees): 3.845 5.186 10.667 90.00 90.00 90.00
Element x y z (fractional)
1 La 0.000 0.000 0.213
2 La 0.000 0.000 0.787
3 La 0.500 0.500 0.287
4 La 0.500 0.500 0.713
5 Zr 0.000 0.500 0.000
6 Zr 0.500 0.000 0.500
7 Cr 0.000 0.500 0.500
8 Cr 0.500 0.000 0.000

DOS(E_F) ... 9.02 states/eV/cell
Energy of formation from the pure elements ... 41 kJ/mol of atoms
Calculated volume ... 26.585 A^3/atom
ΔE to the lowest computed polymorph ... 0.56 eV/f.u.

(2)
Crystalline Ac3Mg2Zn at its relaxed geometry, computed with PBE.

Lattice parameters (Å, degrees): 4.026 4.026 12.267 90.00 90.00 90.00
Element x y z (fractional)
1 Ac 0.000 0.000 0.000
2 Ac 0.000 0.000 0.348
3 Ac 0.000 0.000 0.652
4 Mg 0.500 0.500 0.171
5 Mg 0.500 0.500 0.829
6 Zn 0.500 0.500 0.500

DOS(E_F) ... 6.99 states/eV/cell
Energy of formation from the pure elements ... -12 kJ/mol of atoms
Calculated volume ... 33.146 A^3/atom